{
  "formula": "VBiHO4",
  "functional": "PBE with a Hubbard U",
  "state": "relaxed",
  "total_energy_ev_per_cell": -88.2,
  "volume_a3_per_cell": 179,
  "crystal_system": "monoclinic",
  "cell": [[6.021, 0.000, 0.000], [0.000, 4.967, 0.000], [-1.969, 0.000, 5.979]],
  "species": ["V", "V", "Bi", "Bi", "H", "H", "O", "O", "O", "O", "O", "O", "O", "O"],
  "frac_coords": [[0.216, 0.250, 0.140], [0.784, 0.750, 0.860], [0.231, 0.750, 0.499], [0.769, 0.250, 0.501], [0.455, 0.750, 0.217], [0.545, 0.250, 0.783], [0.009, 0.250, 0.872], [0.098, 0.250, 0.389], [0.446, 0.511, 0.244], [0.446, 0.989, 0.244], [0.554, 0.011, 0.756], [0.554, 0.489, 0.756], [0.902, 0.750, 0.611], [0.991, 0.750, 0.128]]
}